# ZrBeInIr | OQMD | PBE | relaxed
# Energy above the lowest structure with this stoichiometry in meV per atom: 169
# Total moment in μB/cell: 0.00
# Crystal system: cubic
data_ZrBeInIr
_symmetry_space_group_name_H-M 'F -4 3 m'
_symmetry_Int_Tables_number 216
_symmetry_space_group_name_Hall 'F -4 2 3'
_cell_length_a 6.450
_cell_length_b 6.450
_cell_length_c 6.450
_cell_angle_alpha 90.00
_cell_angle_beta 90.00
_cell_angle_gamma 90.00
loop_
_atom_site_label
_atom_site_type_symbol
_atom_site_fract_x
_atom_site_fract_y
_atom_site_fract_z
Zr1 Zr 0.000 0.000 0.000
Be1 Be 0.000 0.000 0.500
In1 In 0.250 0.250 0.250
Ir1 Ir 0.250 0.250 0.750

---

# Hf3Co | OQMD | PBE | relaxed
# Energy relative to the elements in eV/f.u.: 0.51
# Total moment in μB/cell: 0.06
# Crystal system: tetragonal
data_Hf3Co
_symmetry_space_group_name_H-M 'I 4/m m m'
_symmetry_Int_Tables_number 139
_symmetry_space_group_name_Hall '-I 4 2'
_cell_length_a 3.971
_cell_length_b 3.971
_cell_length_c 9.528
_cell_angle_alpha 90.00
_cell_angle_beta 90.00
_cell_angle_gamma 90.00
loop_
_atom_site_label
_atom_site_type_symbol
_atom_site_fract_x
_atom_site_fract_y
_atom_site_fract_z
Hf1 Hf 0.000 0.000 0.000
Hf2 Hf 0.000 0.500 0.250
Co1 Co 0.000 0.000 0.500

---

# Ag7PSe6 | OQMD | PBE | relaxed
# Crystal system: cubic
data_Ag7PSe6
_symmetry_space_group_name_H-M 'P 21 3'
_symmetry_Int_Tables_number 198
_symmetry_space_group_name_Hall 'P 2ac 2ab 3'
_cell_length_a 10.922
_cell_length_b 10.922
_cell_length_c 10.922
_cell_angle_alpha 90.00
_cell_angle_beta 90.00
_cell_angle_gamma 90.00
loop_
_atom_site_label
_atom_site_type_symbol
_atom_site_fract_x
_atom_site_fract_y
_atom_site_fract_z
Ag1 Ag 0.012 0.014 0.280
Ag2 Ag 0.071 0.894 0.727
Ag3 Ag 0.157 0.657 0.843
P1 P 0.247 0.753 0.253
Se1 Se 0.022 0.522 0.978
Se2 Se 0.122 0.859 0.130
Se3 Se 0.133 0.367 0.633
Se4 Se 0.209 0.209 0.209

---

# LuNbCoBi | OQMD | PBE | relaxed
# Energy above the lowest structure with this stoichiometry in meV per atom: 0
# Total moment in μB/cell: 7.87
# Crystal system: cubic
data_LuNbCoBi
_symmetry_space_group_name_H-M 'F -4 3 m'
_symmetry_Int_Tables_number 216
_symmetry_space_group_name_Hall 'F -4 2 3'
_cell_length_a 6.783
_cell_length_b 6.783
_cell_length_c 6.783
_cell_angle_alpha 90.00
_cell_angle_beta 90.00
_cell_angle_gamma 90.00
loop_
_atom_site_label
_atom_site_type_symbol
_atom_site_fract_x
_atom_site_fract_y
_atom_site_fract_z
Lu1 Lu 0.000 0.000 0.000
Nb1 Nb 0.250 0.250 0.250
Co1 Co 0.250 0.250 0.750
Bi1 Bi 0.000 0.000 0.500

---

# RbZrCuTeSe2 | OQMD | PBE | relaxed
# Energy above the lowest structure with this stoichiometry in meV per atom: 0
# Total moment in μB/cell: 0.01
# Crystal system: orthorhombic
data_RbZrCuTeSe2
_symmetry_space_group_name_H-M 'C m c m'
_symmetry_Int_Tables_number 63
_symmetry_space_group_name_Hall '-C 2c 2'
_cell_length_a 3.972
_cell_length_b 16.297
_cell_length_c 10.653
_cell_angle_alpha 90.00
_cell_angle_beta 90.00
_cell_angle_gamma 90.00
loop_
_atom_site_label
_atom_site_type_symbol
_atom_site_fract_x
_atom_site_fract_y
_atom_site_fract_z
Rb1 Rb 0.000 0.232 0.250
Zr1 Zr 0.000 0.000 0.000
Cu1 Cu 0.000 0.474 0.750
Te1 Te 0.000 0.078 0.750
Se1 Se 0.000 0.391 0.560

---

# ScBeCuGe | OQMD | PBE | relaxed
# Energy above the lowest structure with this stoichiometry in meV per atom: 0
# Total moment in μB/cell: 0.00
# Crystal system: cubic
data_ScBeCuGe
_symmetry_space_group_name_H-M 'F -4 3 m'
_symmetry_Int_Tables_number 216
_symmetry_space_group_name_Hall 'F -4 2 3'
_cell_length_a 6.156
_cell_length_b 6.156
_cell_length_c 6.156
_cell_angle_alpha 90.00
_cell_angle_beta 90.00
_cell_angle_gamma 90.00
loop_
_atom_site_label
_atom_site_type_symbol
_atom_site_fract_x
_atom_site_fract_y
_atom_site_fract_z
Sc1 Sc 0.000 0.000 0.000
Be1 Be 0.000 0.000 0.500
Cu1 Cu 0.250 0.250 0.250
Ge1 Ge 0.250 0.250 0.750

---

# La3Si2Ni2C3 | OQMD | PBE | relaxed
# Total moment in μB/cell: 0.03
# Crystal system: tetragonal
data_La3Si2Ni2C3
_symmetry_space_group_name_H-M 'I 4/m m m'
_symmetry_Int_Tables_number 139
_symmetry_space_group_name_Hall '-I 4 2'
_cell_length_a 3.876
_cell_length_b 3.876
_cell_length_c 22.913
_cell_angle_alpha 90.00
_cell_angle_beta 90.00
_cell_angle_gamma 90.00
loop_
_atom_site_label
_atom_site_type_symbol
_atom_site_fract_x
_atom_site_fract_y
_atom_site_fract_z
La1 La 0.000 0.000 0.000
La2 La 0.000 0.000 0.381
Si1 Si 0.000 0.000 0.195
Ni1 Ni 0.000 0.500 0.250
C1 C 0.000 0.000 0.116
C2 C 0.000 0.000 0.500

---

# SiNiOsPt | OQMD | PBE | relaxed
# Total moment in μB/cell: 4.35
# Crystal system: cubic
data_SiNiOsPt
_symmetry_space_group_name_H-M 'F -4 3 m'
_symmetry_Int_Tables_number 216
_symmetry_space_group_name_Hall 'F -4 2 3'
_cell_length_a 6.037
_cell_length_b 6.037
_cell_length_c 6.037
_cell_angle_alpha 90.00
_cell_angle_beta 90.00
_cell_angle_gamma 90.00
loop_
_atom_site_label
_atom_site_type_symbol
_atom_site_fract_x
_atom_site_fract_y
_atom_site_fract_z
Si1 Si 0.000 0.000 0.000
Ni1 Ni 0.250 0.250 0.250
Os1 Os 0.000 0.000 0.500
Pt1 Pt 0.250 0.250 0.750

---

# FeCoSbAu | OQMD | PBE | relaxed
# Energy above the lowest structure with this stoichiometry in meV per atom: 0
# Total moment in μB/cell: 13.39
# Crystal system: cubic
data_FeCoSbAu
_symmetry_space_group_name_H-M 'F -4 3 m'
_symmetry_Int_Tables_number 216
_symmetry_space_group_name_Hall 'F -4 2 3'
_cell_length_a 6.254
_cell_length_b 6.254
_cell_length_c 6.254
_cell_angle_alpha 90.00
_cell_angle_beta 90.00
_cell_angle_gamma 90.00
loop_
_atom_site_label
_atom_site_type_symbol
_atom_site_fract_x
_atom_site_fract_y
_atom_site_fract_z
Fe1 Fe 0.000 0.000 0.000
Co1 Co 0.000 0.000 0.500
Sb1 Sb 0.250 0.250 0.250
Au1 Au 0.250 0.250 0.750

---

# Ho3Ga2 | OQMD | PBE | relaxed
# Total moment in μB/cell: 0.06
# Crystal system: tetragonal
data_Ho3Ga2
_symmetry_space_group_name_H-M 'I 4/m c m'
_symmetry_Int_Tables_number 140
_symmetry_space_group_name_Hall '-I 4 2c'
_cell_length_a 11.552
_cell_length_b 11.552
_cell_length_c 14.796
_cell_angle_alpha 90.00
_cell_angle_beta 90.00
_cell_angle_gamma 90.00
loop_
_atom_site_label
_atom_site_type_symbol
_atom_site_fract_x
_atom_site_fract_y
_atom_site_fract_z
Ho1 Ho 0.000 0.500 0.146
Ho2 Ho 0.067 0.203 0.135
Ho3 Ho 0.169 0.331 0.500
Ga1 Ga 0.000 0.000 0.000
Ga2 Ga 0.000 0.000 0.250
Ga3 Ga 0.117 0.383 0.000
Ga4 Ga 0.177 0.323 0.299

---

# La2AgAs | OQMD | PBE | relaxed
# Total moment in μB/cell: 0.10
# Crystal system: orthorhombic
data_La2AgAs
_symmetry_space_group_name_H-M 'C m c m'
_symmetry_Int_Tables_number 63
_symmetry_space_group_name_Hall '-C 2c 2'
_cell_length_a 4.146
_cell_length_b 19.708
_cell_length_c 5.895
_cell_angle_alpha 90.00
_cell_angle_beta 90.00
_cell_angle_gamma 90.00
loop_
_atom_site_label
_atom_site_type_symbol
_atom_site_fract_x
_atom_site_fract_y
_atom_site_fract_z
La1 La 0.000 0.079 0.250
La2 La 0.000 0.301 0.250
Ag1 Ag 0.000 0.459 0.250
As1 As 0.000 0.310 0.750

---

# SrTePdO | OQMD | PBE | relaxed
# Energy above the lowest structure with this stoichiometry in meV per atom: 1034
# Crystal system: tetragonal
data_SrTePdO
_symmetry_space_group_name_H-M 'P 4/n m m'
_symmetry_Int_Tables_number 129
_cell_length_a 4.757
_cell_length_b 4.757
_cell_length_c 8.396
_cell_angle_alpha 90.00
_cell_angle_beta 90.00
_cell_angle_gamma 90.00
loop_
_symmetry_equiv_pos_as_xyz
'x,y,z'
'-x,-y,-z'
'-y+1/2,x,z'
'y+1/2,-x,-z'
'-x+1/2,-y+1/2,z'
'x+1/2,y+1/2,-z'
'y,-x+1/2,z'
'-y,x+1/2,-z'
'x+1/2,-y,-z'
'-x+1/2,y,z'
'-y,-x,-z'
'y,x,z'
'-x,y+1/2,-z'
'x,-y+1/2,z'
'y+1/2,x+1/2,-z'
'-y+1/2,-x+1/2,z'
loop_
_atom_site_label
_atom_site_type_symbol
_atom_site_fract_x
_atom_site_fract_y
_atom_site_fract_z
Sr1 Sr 0.250 0.750 0.000
Te1 Te 0.250 0.250 0.286
Pd1 Pd 0.250 0.250 0.761
O1 O 0.250 0.250 0.510

---

Number 1: final energy -24.537 eV/f.u.. Number 2: final energy -36.464 eV/f.u.. Number 3: final energy -47.675 eV/f.u.. Number 4: final energy -24.340 eV/f.u.. Number 5: final energy -29.399 eV/f.u.. Number 6: final energy -18.839 eV/f.u.. Number 7: final energy -67.191 eV/f.u.. Number 8: final energy -27.115 eV/f.u.. Number 9: final energy -21.966 eV/f.u.. Number 10: final energy -22.509 eV/f.u.. Number 11: final energy -20.651 eV/f.u.. Number 12: final energy -16.124 eV/f.u..